#w
The following is a DFT calculation (PBE+U) of a relaxed FeRe3F crystal.

Values from the calculation:
ρ: 14.26 Mg/m³

Structure (CIF):
```
data_FeRe3F
_chemical_formula_sum 'Fe1 Re3 F1'
_cell_length_a 4.194
_cell_length_b 4.194
_cell_length_c 4.194
_cell_angle_alpha 90.00
_cell_angle_beta 90.00
_cell_angle_gamma 90.00
_space_group_name_H-M_alt 'P 1'
_space_group_IT_number 1
loop_
_space_group_symop_operation_xyz
'x,y,z'
loop_
_atom_site_label
_atom_site_type_symbol
_atom_site_fract_x
_atom_site_fract_y
_atom_site_fract_z
_atom_site_occupancy
Re1 Re 0.000 0.000 0.500 1
Re2 Re 0.500 0.000 0.000 1
Re3 Re 0.000 0.500 0.000 1
F1 F 0.000 0.000 0.000 1
Fe1 Fe 0.500 0.500 0.500 1
```

#x
The following is a DFT calculation (PBE+U) of a relaxed FeRe3F crystal.

Values from the calculation:
ρ: 12.03 Mg/m³

Structure (CIF):
```
data_FeRe3F
_chemical_formula_sum 'Fe1 Re3 F1'
_cell_length_a 4.438
_cell_length_b 4.438
_cell_length_c 4.438
_cell_angle_alpha 90.00
_cell_angle_beta 90.00
_cell_angle_gamma 90.00
_space_group_name_H-M_alt 'P 1'
_space_group_IT_number 1
loop_
_space_group_symop_operation_xyz
'x,y,z'
loop_
_atom_site_label
_atom_site_type_symbol
_atom_site_fract_x
_atom_site_fract_y
_atom_site_fract_z
_atom_site_occupancy
Re1 Re 0.000 0.000 0.500 1
Re2 Re 0.500 0.000 0.000 1
Re3 Re 0.000 0.500 0.000 1
Fe1 Fe 0.000 0.000 0.000 1
F1 F 0.500 0.500 0.500 1
```

It is #x that is the least stable of them.

#w
The following is a DFT calculation (PBE+U) of a relaxed Fe2Re2F crystal.

Values from the calculation:
ρ: 9.49 Mg/m³

Structure (CIF):
```
data_Fe2Re2F
_chemical_formula_sum 'Fe2 Re2 F1'
_cell_length_a 3.537
_cell_length_b 3.537
_cell_length_c 7.471
_cell_angle_alpha 76.31
_cell_angle_beta 76.31
_cell_angle_gamma 90.00
_space_group_name_H-M_alt 'P 1'
_space_group_IT_number 1
loop_
_space_group_symop_operation_xyz
'x,y,z'
loop_
_atom_site_label
_atom_site_type_symbol
_atom_site_fract_x
_atom_site_fract_y
_atom_site_fract_z
_atom_site_occupancy
Re1 Re 0.250 0.750 0.500 1
Re2 Re 0.750 0.250 0.500 1
Fe1 Fe 0.604 0.604 0.792 1
Fe2 Fe 0.396 0.396 0.208 1
F1 F 0.000 0.000 0.000 1
```

#x
The following is a DFT calculation (PBE+U) of a relaxed Fe2Re2F crystal.

Values from the calculation:
ρ: 12.55 Mg/m³

Structure (CIF):
```
data_Fe2Re2F
_chemical_formula_sum 'Fe4 Re4 F2'
_cell_length_a 7.093
_cell_length_b 7.093
_cell_length_c 2.646
_cell_angle_alpha 90.00
_cell_angle_beta 90.00
_cell_angle_gamma 90.00
_space_group_name_H-M_alt 'P 1'
_space_group_IT_number 1
loop_
_space_group_symop_operation_xyz
'x,y,z'
loop_
_atom_site_label
_atom_site_type_symbol
_atom_site_fract_x
_atom_site_fract_y
_atom_site_fract_z
_atom_site_occupancy
F1 F 0.500 0.500 0.000 1
F2 F 0.000 0.000 0.000 1
Fe1 Fe 0.630 0.130 0.000 1
Fe2 Fe 0.130 0.370 0.000 1
Fe3 Fe 0.870 0.630 0.000 1
Fe4 Fe 0.370 0.870 0.000 1
Re1 Re 0.661 0.839 0.500 1
Re2 Re 0.839 0.339 0.500 1
Re3 Re 0.161 0.661 0.500 1
Re4 Re 0.339 0.161 0.500 1
```

It is #x that is the least stable of them.

#w
The following is a DFT calculation (PBE+U) of a relaxed Fe3ReF crystal.

Values from the calculation:
ρ: 8.43 Mg/m³

Structure (CIF):
```
data_Fe3ReF
_chemical_formula_sum 'Fe3 Re1 F1'
_cell_length_a 4.187
_cell_length_b 4.187
_cell_length_c 4.187
_cell_angle_alpha 90.00
_cell_angle_beta 90.00
_cell_angle_gamma 90.00
_space_group_name_H-M_alt 'P 1'
_space_group_IT_number 1
loop_
_space_group_symop_operation_xyz
'x,y,z'
loop_
_atom_site_label
_atom_site_type_symbol
_atom_site_fract_x
_atom_site_fract_y
_atom_site_fract_z
_atom_site_occupancy
F1 F 0.000 0.000 0.000 1
Fe1 Fe 0.000 0.000 0.500 1
Fe2 Fe 0.000 0.500 0.000 1
Fe3 Fe 0.500 0.000 0.000 1
Re1 Re 0.500 0.500 0.500 1
```

#x
The following is a DFT calculation (PBE+U) of a relaxed Fe3ReF crystal.

Values from the calculation:
ρ: 5.59 Mg/m³

Structure (CIF):
```
data_Fe3ReF
_chemical_formula_sum 'Fe3 Re1 F1'
_cell_length_a 4.802
_cell_length_b 4.802
_cell_length_c 4.802
_cell_angle_alpha 90.00
_cell_angle_beta 90.00
_cell_angle_gamma 90.00
_space_group_name_H-M_alt 'P 1'
_space_group_IT_number 1
loop_
_space_group_symop_operation_xyz
'x,y,z'
loop_
_atom_site_label
_atom_site_type_symbol
_atom_site_fract_x
_atom_site_fract_y
_atom_site_fract_z
_atom_site_occupancy
F1 F 0.500 0.500 0.500 1
Fe1 Fe 0.000 0.500 0.000 1
Fe2 Fe 0.000 0.000 0.500 1
Fe3 Fe 0.500 0.000 0.000 1
Re1 Re 0.000 0.000 0.000 1
```

It is #x that is the least stable of them.

#w
The following is a DFT calculation (PBE+U) of a relaxed Fe2RhF crystal.

Values from the calculation:
ρ: 6.39 Mg/m³

Structure (CIF):
```
data_Fe2RhF
_chemical_formula_sum 'Fe4 Rh2 F2'
_cell_length_a 6.218
_cell_length_b 6.218
_cell_length_c 5.403
_cell_angle_alpha 54.87
_cell_angle_beta 54.87
_cell_angle_gamma 90.00
_space_group_name_H-M_alt 'P 1'
_space_group_IT_number 1
loop_
_space_group_symop_operation_xyz
'x,y,z'
loop_
_atom_site_label
_atom_site_type_symbol
_atom_site_fract_x
_atom_site_fract_y
_atom_site_fract_z
_atom_site_occupancy
Fe1 Fe 0.875 0.822 0.750 1
Fe2 Fe 0.572 0.125 0.250 1
Fe3 Fe 0.375 0.428 0.750 1
Fe4 Fe 0.178 0.625 0.250 1
Rh1 Rh 0.000 0.000 0.000 1
Rh2 Rh 0.750 0.250 0.500 1
F1 F 0.250 0.750 0.500 1
F2 F 0.500 0.500 0.000 1
```

#x
The following is a DFT calculation (PBE+U) of a relaxed Fe2RhF crystal.

Values from the calculation:
ρ: 6.95 Mg/m³

Structure (CIF):
```
data_Fe2RhF
_chemical_formula_sum 'Fe2 Rh1 F1'
_cell_length_a 4.290
_cell_length_b 4.290
_cell_length_c 4.290
_cell_angle_alpha 60.00
_cell_angle_beta 60.00
_cell_angle_gamma 60.00
_space_group_name_H-M_alt 'P 1'
_space_group_IT_number 1
loop_
_space_group_symop_operation_xyz
'x,y,z'
loop_
_atom_site_label
_atom_site_type_symbol
_atom_site_fract_x
_atom_site_fract_y
_atom_site_fract_z
_atom_site_occupancy
Rh1 Rh 0.500 0.500 0.500 1
F1 F 0.000 0.000 0.000 1
Fe1 Fe 0.750 0.750 0.750 1
Fe2 Fe 0.250 0.250 0.250 1
```

It is #x that is the least stable of them.

#w
The following is a DFT calculation (PBE+U) of a relaxed FeRh3F crystal.

Values from the calculation:
ρ: 8.40 Mg/m³

Structure (CIF):
```
data_FeRh3F
_chemical_formula_sum 'Fe1 Rh3 F1'
_cell_length_a 4.233
_cell_length_b 4.233
_cell_length_c 4.233
_cell_angle_alpha 90.00
_cell_angle_beta 90.00
_cell_angle_gamma 90.00
_space_group_name_H-M_alt 'P 1'
_space_group_IT_number 1
loop_
_space_group_symop_operation_xyz
'x,y,z'
loop_
_atom_site_label
_atom_site_type_symbol
_atom_site_fract_x
_atom_site_fract_y
_atom_site_fract_z
_atom_site_occupancy
Rh1 Rh 0.500 0.000 0.000 1
Rh2 Rh 0.000 0.500 0.000 1
Rh3 Rh 0.000 0.000 0.500 1
Fe1 Fe 0.500 0.500 0.500 1
F1 F 0.000 0.000 0.000 1
```

#x
The following is a DFT calculation (PBE+U) of a relaxed FeRh3F crystal.

Values from the calculation:
ρ: 7.34 Mg/m³

Structure (CIF):
```
data_FeRh3F
_chemical_formula_sum 'Fe1 Rh3 F1'
_cell_length_a 4.427
_cell_length_b 4.427
_cell_length_c 4.427
_cell_angle_alpha 90.00
_cell_angle_beta 90.00
_cell_angle_gamma 90.00
_space_group_name_H-M_alt 'P 1'
_space_group_IT_number 1
loop_
_space_group_symop_operation_xyz
'x,y,z'
loop_
_atom_site_label
_atom_site_type_symbol
_atom_site_fract_x
_atom_site_fract_y
_atom_site_fract_z
_atom_site_occupancy
Fe1 Fe 0.000 0.000 0.000 1
Rh1 Rh 0.000 0.500 0.000 1
Rh2 Rh 0.500 0.000 0.000 1
Rh3 Rh 0.000 0.000 0.500 1
F1 F 0.500 0.500 0.500 1
```

It is #x that is the least stable of them.

#w
The following is a DFT calculation (PBE+U) of a relaxed FeRhF3 crystal.

Values from the calculation:
ρ: 5.36 Mg/m³

Structure (CIF):
```
data_FeRhF3
_chemical_formula_sum 'Fe1 Rh1 F3'
_cell_length_a 4.057
_cell_length_b 4.057
_cell_length_c 4.057
_cell_angle_alpha 90.00
_cell_angle_beta 90.00
_cell_angle_gamma 90.00
_space_group_name_H-M_alt 'P 1'
_space_group_IT_number 1
loop_
_space_group_symop_operation_xyz
'x,y,z'
loop_
_atom_site_label
_atom_site_type_symbol
_atom_site_fract_x
_atom_site_fract_y
_atom_site_fract_z
_atom_site_occupancy
F1 F 0.000 0.500 0.000 1
F2 F 0.500 0.000 0.000 1
F3 F 0.000 0.000 0.500 1
Rh1 Rh 0.500 0.500 0.500 1
Fe1 Fe 0.000 0.000 0.000 1
```

#x
The following is a DFT calculation (PBE+U) of a relaxed FeRhF3 crystal.

Values from the calculation:
ρ: 4.79 Mg/m³

Structure (CIF):
```
data_FeRhF3
_chemical_formula_sum 'Fe1 Rh1 F3'
_cell_length_a 4.215
_cell_length_b 4.215
_cell_length_c 4.215
_cell_angle_alpha 90.00
_cell_angle_beta 90.00
_cell_angle_gamma 90.00
_space_group_name_H-M_alt 'P 1'
_space_group_IT_number 1
loop_
_space_group_symop_operation_xyz
'x,y,z'
loop_
_atom_site_label
_atom_site_type_symbol
_atom_site_fract_x
_atom_site_fract_y
_atom_site_fract_z
_atom_site_occupancy
Fe1 Fe 0.500 0.500 0.500 1
F1 F 0.000 0.500 0.000 1
F2 F 0.000 0.000 0.500 1
F3 F 0.500 0.000 0.000 1
Rh1 Rh 0.000 0.000 0.000 1
```

It is #x that is the least stable of them.